1.
A relaxed structure of LaTb2Ho4Sc. Source: Alexandria via LeMat-Bulk, functional PBE-GGA.

VASP energy ... -4.815 eV per atom
DFT formation energy ... 0.0385 eV/atom

```
data_LaTb2Ho4Sc
_cell_length_a 4.983
_cell_length_b 4.983
_cell_length_c 10.032
_cell_angle_alpha 90.00
_cell_angle_beta 90.00
_cell_angle_gamma 90.00
_space_group_name_H-M_alt 'P 4/m m m'
_space_group_IT_number 123
_space_group_name_Hall '-P 4 2'
loop_
_atom_site_label
_atom_site_type_symbol
_atom_site_fract_x
_atom_site_fract_y
_atom_site_fract_z
La1 La 0.000 0.000 0.000
Tb1 Tb 0.000 0.000 0.500
Tb2 Tb 0.500 0.500 0.500
Ho1 Ho 0.000 0.500 0.250
Sc1 Sc 0.500 0.500 0.000
```



2.
A relaxed structure of CrAgRu3. Source: Alexandria via LeMat-Bulk, functional PBE-GGA.

VASP energy ... -6.835 eV per atom
DFT formation energy ... 1.2251 eV/atom
Offset from the most stable computed form ... 0.0 meV/atom

```
data_CrAgRu3
_cell_length_a 4.439
_cell_length_b 4.439
_cell_length_c 4.439
_cell_angle_alpha 90.00
_cell_angle_beta 90.00
_cell_angle_gamma 90.00
_space_group_name_H-M_alt 'P m -3 m'
_space_group_IT_number 221
_space_group_name_Hall '-P 4 2 3'
loop_
_atom_site_label
_atom_site_type_symbol
_atom_site_fract_x
_atom_site_fract_y
_atom_site_fract_z
Cr1 Cr 0.000 0.000 0.000
Ag1 Ag 0.500 0.500 0.500
Ru1 Ru 0.000 0.000 0.500
```



3.
A relaxed structure of TbYO. Source: Alexandria via LeMat-Bulk, functional PBE-GGA.

VASP energy ... -7.148 eV per atom
Formation energy (no corrections) ... -5.39 eV/f.u.

```
data_TbYO
_cell_length_a 3.5340
_cell_length_b 3.5340
_cell_length_c 5.7885
_cell_angle_alpha 90.00
_cell_angle_beta 90.00
_cell_angle_gamma 120.00
_space_group_name_H-M_alt 'P 3 m 1'
_space_group_IT_number 156
loop_
_space_group_symop_operation_xyz
'x,y,z'
'-y,x-y,z'
'-x+y,-x,z'
'-y,-x,z'
'-x+y,y,z'
'x,x-y,z'
loop_
_atom_site_label
_atom_site_type_symbol
_atom_site_fract_x
_atom_site_fract_y
_atom_site_fract_z
Tb1 Tb 0.0000 0.0000 0.0000
Y1 Y 0.3333 0.6667 0.4697
O1 O 0.6667 0.3333 0.2364
```



4.
A relaxed structure of K2Cd2Bi. Source: Alexandria via LeMat-Bulk, functional PBE-GGA.

VASP energy ... -1.433 eV per atom
DFT formation energy ... 0.1481 eV/atom
Offset from the most stable computed form ... 322.5 meV/atom

```
data_K2Cd2Bi
_cell_length_a 5.087
_cell_length_b 5.087
_cell_length_c 14.352
_cell_angle_alpha 90.00
_cell_angle_beta 90.00
_cell_angle_gamma 90.00
_space_group_name_H-M_alt 'I 4/m m m'
_space_group_IT_number 139
_space_group_name_Hall '-I 4 2'
loop_
_atom_site_label
_atom_site_type_symbol
_atom_site_fract_x
_atom_site_fract_y
_atom_site_fract_z
K1 K 0.000 0.500 0.250
Cd1 Cd 0.000 0.000 0.095
Bi1 Bi 0.000 0.000 0.500
```



5.
A relaxed structure of KLi2NpO6. Source: Alexandria via LeMat-Bulk, functional PBE-GGA.

VASP energy ... -6.649 eV per atom
Formation energy (no corrections) ... -18.88 eV/f.u.

```
data_KLi2NpO6
_cell_length_a 8.657
_cell_length_b 10.553
_cell_length_c 6.224
_cell_angle_alpha 90.00
_cell_angle_beta 91.79
_cell_angle_gamma 90.00
_space_group_name_H-M_alt 'C 1 2/c 1'
_space_group_IT_number 15
loop_
_space_group_symop_operation_xyz
'x,y,z'
'-x,-y,-z'
'-x,y,-z+1/2'
'x,-y,z+1/2'
'x+1/2,y+1/2,z'
'-x+1/2,-y+1/2,-z'
'-x+1/2,y+1/2,-z+1/2'
'x+1/2,-y+1/2,z+1/2'
loop_
_atom_site_label
_atom_site_type_symbol
_atom_site_fract_x
_atom_site_fract_y
_atom_site_fract_z
K1 K 0.000 0.084 0.250
Li1 Li 0.148 0.402 0.335
Np1 Np 0.000 0.297 0.750
O1 O 0.056 0.309 0.059
O2 O 0.137 0.159 0.669
O3 O 0.154 0.428 0.682
```



6.
A relaxed structure of AlRuS2N. Source: Alexandria via LeMat-Bulk, functional PBE-GGA.

VASP energy ... -5.229 eV per atom
Formation energy (no corrections) ... 3.45 eV/f.u.
Offset from the most stable computed form ... 343.1 meV/atom

```
data_AlRuS2N
_cell_length_a 4.655
_cell_length_b 4.655
_cell_length_c 3.530
_cell_angle_alpha 90.00
_cell_angle_beta 90.00
_cell_angle_gamma 90.00
_space_group_name_H-M_alt 'P 4/m m m'
_space_group_IT_number 123
_space_group_name_Hall '-P 4 2'
loop_
_atom_site_label
_atom_site_type_symbol
_atom_site_fract_x
_atom_site_fract_y
_atom_site_fract_z
Al1 Al 0.000 0.000 0.000
Ru1 Ru 0.500 0.500 0.500
S1 S 0.000 0.500 0.000
N1 N 0.000 0.000 0.500
```



7.
A relaxed structure of Pm6Pd3Pb. Source: Alexandria via LeMat-Bulk, functional PBE-GGA.

VASP energy ... -5.308 eV per atom
DFT formation energy ... -0.5291 eV/atom

```
data_Pm6Pd3Pb
_cell_length_a 11.557
_cell_length_b 13.217
_cell_length_c 7.333
_cell_angle_alpha 90.00
_cell_angle_beta 90.00
_cell_angle_gamma 90.00
_space_group_name_H-M_alt 'C m c 21'
_space_group_IT_number 36
loop_
_space_group_symop_operation_xyz
'x,y,z'
'-x,-y,z+1/2'
'-x,y,z'
'x,-y,z+1/2'
'x+1/2,y+1/2,z'
'-x+1/2,-y+1/2,z+1/2'
'-x+1/2,y+1/2,z'
'x+1/2,-y+1/2,z+1/2'
loop_
_atom_site_label
_atom_site_type_symbol
_atom_site_fract_x
_atom_site_fract_y
_atom_site_fract_z
Pm1 Pm 0.000 0.080 0.000
Pm2 Pm 0.000 0.198 0.507
Pm3 Pm 0.154 0.466 0.458
Pm4 Pm 0.227 0.279 0.820
Pd1 Pd 0.000 0.377 0.747
Pd2 Pd 0.167 0.066 0.680
Pb1 Pb 0.000 0.323 0.134
```



8.
A relaxed structure of BeSbTe2Mo. Source: Alexandria via LeMat-Bulk, functional PBE-GGA.

VASP energy ... -4.068 eV per atom
Formation energy (no corrections) ... 4.62 eV/f.u.
Offset from the most stable computed form ... 0.0 meV/atom

```
data_BeSbTe2Mo
_cell_length_a 5.072
_cell_length_b 5.072
_cell_length_c 4.661
_cell_angle_alpha 90.00
_cell_angle_beta 90.00
_cell_angle_gamma 90.00
_space_group_name_H-M_alt 'P 4/m m m'
_space_group_IT_number 123
_space_group_name_Hall '-P 4 2'
loop_
_atom_site_label
_atom_site_type_symbol
_atom_site_fract_x
_atom_site_fract_y
_atom_site_fract_z
Be1 Be 0.000 0.000 0.000
Sb1 Sb 0.000 0.000 0.500
Te1 Te 0.000 0.500 0.000
Mo1 Mo 0.500 0.500 0.500
```



no.,total moment (μB per atom)
1,0.00
2,0.39
3,0.04
4,0.00
5,0.20
6,0.51
7,0.00
8,0.63